HfInRe3 PBE relaxed; Fermi-level density of states = 7.03 states/eV/f.u.; ΔE to the lowest computed polymorph = 0.118 eV per atom; space-group type = Pm-3m
1.0
4.778 0.000 0.000
0.000 4.778 0.000
0.000 0.000 4.778
In Re Hf
1 3 1
Direct
0.000 0.000 0.000
0.000 0.500 0.000
0.500 0.000 0.000
0.000 0.000 0.500
0.500 0.500 0.500

HfInRe2 PBE relaxed; Fermi-level density of states = 4.68 states/eV/f.u.; space-group type = I-42d
1.0
7.506 0.000 0.000
0.000 7.506 0.000
3.753 3.753 2.765
In Re Hf
2 4 2
Direct
0.500 0.500 0.000
0.250 0.750 0.500
0.115 0.625 0.250
0.875 0.885 0.750
0.635 0.125 0.250
0.375 0.365 0.750
0.000 0.000 0.000
0.750 0.250 0.500

Hf2InRe PBE relaxed; Fermi-level density of states = 2.59 states/eV/f.u.; space-group type = R-3m
1.0
3.230 0.000 0.000
1.615 2.797 0.000
1.615 0.932 9.140
Re Hf In
1 2 1
Direct
0.000 0.000 0.000
0.260 0.260 0.219
0.740 0.740 0.781
0.500 0.500 0.500

Hf8In2Re PBE relaxed; Fermi-level density of states = 11.36 states/eV/f.u.; space-group type = Immm
1.0
4.984 0.000 0.000
0.000 6.636 -0.187
-2.492 -3.114 7.316
In Re Hf
2 1 8
Direct
0.187 0.687 0.375
0.813 0.313 0.625
0.500 0.000 0.000
0.825 0.825 0.649
0.365 0.602 0.731
0.000 0.253 0.000
0.365 0.129 0.731
0.635 0.398 0.269
0.635 0.871 0.269
0.000 0.747 0.000
0.175 0.175 0.351

Hf6In3Re PBE relaxed; Fermi-level density of states = 7.71 states/eV/f.u.; space-group type = P2_1/c
1.0
5.390 0.000 -0.084
0.000 8.712 0.000
-0.089 0.000 9.618
Hf In Re
12 6 2
Direct
0.069 0.304 0.052
0.084 0.333 0.466
0.848 0.880 0.233
0.584 0.167 0.966
0.569 0.196 0.552
0.416 0.833 0.034
0.916 0.667 0.534
0.431 0.804 0.448
0.152 0.120 0.767
0.348 0.620 0.733
0.931 0.696 0.948
0.652 0.380 0.267
0.347 0.084 0.252
0.500 0.500 0.000
0.653 0.916 0.748
0.000 0.000 0.500
0.847 0.416 0.752
0.153 0.584 0.248
0.500 0.500 0.500
0.000 0.000 0.000

HfInRe3 PBE relaxed; Fermi-level density of states = 5.94 states/eV/f.u.; ΔE to the lowest computed polymorph = 0.000 eV per atom; space-group type = Pm-3m
1.0
4.824 0.000 0.000
0.000 4.824 0.000
0.000 0.000 4.824
Hf Re In
1 3 1
Direct
0.000 0.000 0.000
0.000 0.000 0.500
0.000 0.500 0.000
0.500 0.000 0.000
0.500 0.500 0.500

Hf2InRe PBE relaxed; Fermi-level density of states = 1.41 states/eV/f.u.; space-group type = P4/mmm
1.0
3.347 0.000 0.000
0.000 3.347 0.000
0.000 0.000 7.032
Re In Hf
1 1 2
Direct
0.500 0.500 0.000
0.500 0.500 0.500
0.000 0.000 0.220
0.000 0.000 0.780

Hf5InRe4 PBE relaxed; Fermi-level density of states = 8.16 states/eV/f.u.; space-group type = P4/mmm
1.0
-1.902 -0.550 -2.665
-2.585 -0.652 1.979
-4.308 16.236 -0.278
Re Hf In
4 5 1
Direct
0.000 0.000 0.207
0.000 0.000 0.597
0.000 0.000 0.793
0.000 0.000 0.403
0.500 0.500 0.880
0.500 0.500 0.500
0.500 0.500 0.692
0.500 0.500 0.308
0.500 0.500 0.120
0.000 0.000 0.000

Hf6In2Re PBE relaxed; Fermi-level density of states = 7.11 states/eV/f.u.; space-group type = Immm
1.0
-1.498 -2.724 3.524
4.852 -4.415 -1.349
2.607 6.929 3.325
Hf Re In
6 1 2
Direct
0.844 0.607 0.690
0.500 0.770 0.000
0.500 0.230 0.000
0.156 0.393 0.310
0.156 0.918 0.310
0.844 0.082 0.690
0.000 0.000 0.000
0.670 0.669 0.339
0.330 0.331 0.661

Hf5In2Re PBE relaxed; Fermi-level density of states = 6.96 states/eV/f.u.; space-group type = I4/mmm
1.0
4.786 0.000 -1.316
-0.362 4.773 -1.316
-0.501 -0.541 7.540
In Hf Re
2 5 1
Direct
0.749 0.749 0.498
0.251 0.251 0.502
0.885 0.385 0.771
0.500 0.500 0.000
0.385 0.885 0.771
0.615 0.115 0.229
0.115 0.615 0.229
0.000 0.000 0.000

Hf4In2Re PBE relaxed; Fermi-level density of states = 6.59 states/eV/f.u.; space-group type = I4/mmm
1.0
-2.182 -0.678 -4.373
-0.477 -4.811 0.984
-8.040 -1.436 1.451
In Hf Re
2 4 1
Direct
0.365 0.365 0.270
0.635 0.635 0.730
0.000 0.500 0.000
0.828 0.828 0.344
0.500 0.000 0.000
0.172 0.172 0.656
0.000 0.000 0.000

HfIn2Re PBE relaxed; Fermi-level density of states = 2.24 states/eV/f.u.; ΔE to the lowest computed polymorph = 0.322 eV per atom; space-group type = I-42d
1.0
-7.144 -1.800 -2.557
-1.224 -4.257 6.418
-5.237 -0.730 3.254
Re In Hf
2 4 2
Direct
0.750 0.250 0.500
0.000 0.000 0.000
0.375 0.352 0.750
0.648 0.125 0.250
0.875 0.898 0.750
0.102 0.625 0.250
0.500 0.500 0.000
0.250 0.750 0.500

| no. | calculated formation energy (eV per atom) | total DFT energy (no corrections) (eV per atom) |
| --- | --- | --- |
| 1 | 2.444 | -7.5631 |
| 2 | 1.006 | -8.3914 |
| 3 | -0.064 | -8.8374 |
| 4 | -0.069 | -8.9375 |
| 5 | 0.043 | -7.9956 |
| 6 | 2.326 | -7.6808 |
| 7 | -0.311 | -9.0841 |
| 8 | -0.328 | -10.5579 |
| 9 | 0.226 | -8.4008 |
| 10 | -0.150 | -8.6118 |
| 11 | 0.511 | -7.7371 |
| 12 | 0.652 | -6.3179 |